DFT (GGA-PBE) results for a relaxed structure of CaZn2As.

The structure in POSCAR format:
```
CaZn2As
1.0
-4.566 1.331 2.414
-3.579 -3.907 -0.615
5.059 -0.023 1.690
Zn As Ca
2 1 1
Cartesian
-1.296 -2.609 0.987
0.000 0.000 0.000
-4.072 -1.288 0.900
-1.790 0.010 2.501
```

Output
Formation energy from the elements (meV/atom): -220.3